Y2PuUO8 | GGA-PBE | relaxed

a = 3.791 Å, b = 7.570 Å, c = 5.370 Å
α = 90.00°, β = 90.70°, γ = 90.00°
Fractional coordinates of all 12 atoms:
Y 0.000 0.249 0.000
Y 0.000 0.751 0.000
Pu 0.500 0.000 0.500
U 0.500 0.500 0.500
O 0.006 0.000 0.257
O 0.006 0.500 0.267
O 0.495 0.265 0.738
O 0.495 0.735 0.738
O 0.505 0.265 0.262
O 0.505 0.735 0.262
O 0.994 0.000 0.743
O 0.994 0.500 0.733

Properties
Energy = -9.85 eV per atom
D(E_F) = 7.575 states/eV per cell
Density = 8.5 Mg/m³